Entry 1:
# Er4Pd3Au (GGA-PBE, optimized geometry)
data_Er4Pd3Au
_chemical_formula_sum 'Er4 Pd3 Au1'
_cell_length_a 3.689
_cell_length_b 4.606
_cell_length_c 10.495
_cell_angle_alpha 90.00
_cell_angle_beta 90.00
_cell_angle_gamma 90.00
_symmetry_space_group_name_H-M 'P m m 2'
_symmetry_Int_Tables_number 25
loop_
_symmetry_equiv_pos_as_xyz
'x,y,z'
'-x,-y,z'
'-x,y,z'
'x,-y,z'
loop_
_atom_site_label
_atom_site_fract_x
_atom_site_fract_y
_atom_site_fract_z
Er1 0.000 0.000 0.000
Er2 0.000 0.500 0.269
Er3 0.500 0.000 0.490
Er4 0.500 0.500 0.773
Pd1 0.000 0.500 0.544
Pd2 0.500 0.000 0.219
Pd3 0.500 0.500 0.046
Au1 0.000 0.000 0.718
# V in A^3/atom: 22.29
# Total energy in eV/f.u.: -44.61
# N(E_F) in states/eV/f.u.: 4.7
# Calculated formation energy in kJ per mole of atoms: -90.5

***

Entry 2:
# ErPd3Au2 (GGA-PBE, optimized geometry)
data_ErPd3Au2
_chemical_formula_sum 'Er2 Pd6 Au4'
_cell_length_a 5.738
_cell_length_b 4.170
_cell_length_c 8.824
_cell_angle_alpha 90.00
_cell_angle_beta 92.33
_cell_angle_gamma 90.00
_symmetry_space_group_name_H-M 'P 1 21/m 1'
_symmetry_Int_Tables_number 11
loop_
_symmetry_equiv_pos_as_xyz
'x,y,z'
'-x,-y,-z'
'-x,y+1/2,-z'
'x,-y+1/2,z'
loop_
_atom_site_label
_atom_site_fract_x
_atom_site_fract_y
_atom_site_fract_z
Er1 0.125 0.250 0.246
Pd1 0.131 0.250 0.917
Pd2 0.371 0.750 0.415
Pd3 0.374 0.750 0.747
Au1 0.139 0.250 0.583
Au2 0.376 0.750 0.082
# V in A^3/atom: 17.58
# Polymorph energy (0 for the lowest one) in meV per atom: 21
# Total energy in eV/f.u.: -30.44
# N(E_F) in states/eV/f.u.: 1.8
# Calculated formation energy in kJ per mole of atoms: -60.2

***

Entry 3:
# Er2Pd5Au5 (GGA-PBE, optimized geometry)
data_Er2Pd5Au5
_chemical_formula_sum 'Er4 Pd10 Au10'
_cell_length_a 12.546
_cell_length_b 4.071
_cell_length_c 9.327
_cell_angle_alpha 90.00
_cell_angle_beta 116.19
_cell_angle_gamma 90.00
_symmetry_space_group_name_H-M 'C 1 2/m 1'
_symmetry_Int_Tables_number 12
loop_
_symmetry_equiv_pos_as_xyz
'x,y,z'
'-x,-y,-z'
'-x,y,-z'
'x,-y,z'
'x+1/2,y+1/2,z'
'-x+1/2,-y+1/2,-z'
'-x+1/2,y+1/2,-z'
'x+1/2,-y+1/2,z'
loop_
_atom_site_label
_atom_site_fract_x
_atom_site_fract_y
_atom_site_fract_z
Er1 0.083 0.000 0.254
Pd1 0.000 0.500 0.000
Pd2 0.080 0.500 0.748
Pd3 0.164 0.500 0.502
Au1 0.000 0.000 0.500
Au2 0.167 0.000 0.998
Au3 0.248 0.000 0.744
# V in A^3/atom: 17.81
# Polymorph energy (0 for the lowest one) in meV per atom: 0
# Total energy in eV/f.u.: -58.78
# N(E_F) in states/eV/f.u.: 3.4
# Calculated formation energy in kJ per mole of atoms: -58.7

***

Entry 4:
# ErPd3Au (GGA-PBE, optimized geometry)
data_ErPd3Au
_chemical_formula_sum 'Er2 Pd6 Au2'
_cell_length_a 4.682
_cell_length_b 5.878
_cell_length_c 6.974
_cell_angle_alpha 90.00
_cell_angle_beta 109.60
_cell_angle_gamma 90.00
_symmetry_space_group_name_H-M 'P 1 21/m 1'
_symmetry_Int_Tables_number 11
loop_
_symmetry_equiv_pos_as_xyz
'x,y,z'
'-x,-y,-z'
'-x,y+1/2,-z'
'x,-y+1/2,z'
loop_
_atom_site_label
_atom_site_fract_x
_atom_site_fract_y
_atom_site_fract_z
Er1 0.112 0.250 0.225
Pd1 0.315 0.005 0.629
Pd2 0.493 0.250 0.987
Au1 0.130 0.750 0.261
# V in A^3/atom: 18.08
# Polymorph energy (0 for the lowest one) in meV per atom: 0
# Total energy in eV/f.u.: -26.65
# N(E_F) in states/eV/f.u.: 1.6
# Calculated formation energy in kJ per mole of atoms: -62.4

***

Entry 5:
# Er12PdAu6 (GGA-PBE, optimized geometry)
data_Er12PdAu6
_chemical_formula_sum 'Er36 Pd3 Au18'
_cell_length_a 12.6588
_cell_length_b 12.6588
_cell_length_c 11.8867
_cell_angle_alpha 90.00
_cell_angle_beta 90.00
_cell_angle_gamma 120.00
_symmetry_space_group_name_H-M 'R -3'
_symmetry_Int_Tables_number 148
_symmetry_space_group_name_Hall '-R 3'
loop_
_atom_site_label
_atom_site_fract_x
_atom_site_fract_y
_atom_site_fract_z
Er1 0.0323 0.8166 0.3960
Er2 0.0451 0.8372 0.8868
Pd1 0.0000 0.0000 0.0000
Au1 0.0485 0.7821 0.6481
# V in A^3/atom: 28.94
# Total energy in eV/f.u.: -89.15
# N(E_F) in states/eV/f.u.: 19.7
# Calculated formation energy in kJ per mole of atoms: -48.5

***

Entry 6:
# ErPd3Au2 (GGA-PBE, optimized geometry)
data_ErPd3Au2
_chemical_formula_sum 'Er2 Pd6 Au4'
_cell_length_a 4.180
_cell_length_b 12.660
_cell_length_c 3.981
_cell_angle_alpha 90.00
_cell_angle_beta 90.00
_cell_angle_gamma 90.00
_symmetry_space_group_name_H-M 'C m m m'
_symmetry_Int_Tables_number 65
_symmetry_space_group_name_Hall '-C 2 2'
loop_
_atom_site_label
_atom_site_fract_x
_atom_site_fract_y
_atom_site_fract_z
Er1 0.000 0.000 0.000
Pd1 0.000 0.169 0.500
Pd2 0.000 0.500 0.500
Au1 0.000 0.334 0.000
# V in A^3/atom: 17.56
# Polymorph energy (0 for the lowest one) in meV per atom: 0
# Total energy in eV/f.u.: -30.57
# N(E_F) in states/eV/f.u.: 2.0
# Calculated formation energy in kJ per mole of atoms: -62.3

***

Look up the calculated formation energy of the fourth one.
-62.4 kJ per mole of atoms

***

Look up the total energy of the second one.
-30.44 eV/f.u.